Entry a
{"formula": "Nd2ThAl", "functional": "PBE", "state": "relaxed", "lattice_angstrom": [[4.8961, 0.0000, 0.0000], [0.0000, 4.8798, 0.0000], [0.0000, 0.0000, 4.8798]], "species": ["Al", "Nd", "Nd", "Th"], "frac_coords": [[0.5000, 0.0000, 0.0000], [0.0000, 0.5000, 0.0000], [0.0000, 0.0000, 0.5000], [0.5000, 0.5000, 0.5000]], "dos_ef_per_ev_fu": 5.16}

---

Entry b
{"formula": "Nd2ThAl", "functional": "PBE", "state": "relaxed", "lattice_angstrom": [[-1.1094, -3.3591, 0.8006], [2.6621, -0.2963, 2.4455], [-5.4377, 3.3021, 6.3194]], "species": ["Nd", "Nd", "Th", "Al"], "frac_coords": [[0.0000, 0.0000, 0.7788], [0.0000, 0.0000, 0.2212], [0.5000, 0.5000, 0.5000], [0.5000, 0.5000, 0.0000]], "dos_ef_per_ev_fu": 3.20}

---

Entry c
{"formula": "Nd2ThAl", "functional": "PBE", "state": "relaxed", "lattice_angstrom": [[-4.1057, -2.0848, 2.9892], [-3.0279, -4.1228, -1.9931], [0.4535, -5.0303, 2.1557]], "species": ["Nd", "Nd", "Al", "Th"], "frac_coords": [[0.2499, 0.2499, 0.2503], [0.7501, 0.7501, 0.7497], [0.5000, 0.5000, 0.5000], [0.0000, 0.0000, 0.0000]], "dos_ef_per_ev_fu": 6.69}

---

Which of them is the least stable? Correct choice: entry c.

---

Entry a
{"formula": "NdThAl", "functional": "PBE", "state": "relaxed", "lattice_angstrom": [[-0.4680, 1.7293, -2.9555], [-3.4089, -0.5169, 0.2374], [1.2668, 5.5186, 5.0491]], "species": ["Th", "Nd", "Al"], "frac_coords": [[0.3123, 0.3123, 0.6246], [0.0208, 0.0208, 0.0416], [0.6669, 0.6669, 0.3338]], "dos_ef_per_ev_fu": 4.08}

---

Entry b
{"formula": "NdThAl", "functional": "PBE", "state": "relaxed", "lattice_angstrom": [[-1.1705, 2.0532, 2.3870], [-4.1610, -6.3863, 3.4530], [4.7816, -1.2611, 3.4294]], "species": ["Al", "Al", "Nd", "Nd", "Th", "Th"], "frac_coords": [[0.5000, 0.2086, 0.2500], [0.5000, 0.7914, 0.7500], [0.0000, 0.5000, 0.5000], [0.0000, 0.5000, 0.0000], [0.0000, 0.8804, 0.2500], [0.0000, 0.1196, 0.7500]], "dos_ef_per_ev_fu": 4.07}

---

Which of them is the least stable? Correct choice: entry b.

---

Entry a
{"formula": "Nd6Al2Tl", "functional": "PBE", "state": "relaxed", "lattice_angstrom": [[8.4283, -0.0134, -3.1783], [-4.4198, 7.4439, -2.4882], [-0.1908, 0.0134, 9.0056]], "species": ["Al", "Al", "Al", "Al", "Nd", "Nd", "Nd", "Nd", "Nd", "Nd", "Nd", "Nd", "Nd", "Nd", "Nd", "Nd", "Tl", "Tl"], "frac_coords": [[0.5000, 0.3795, 0.8795], [0.6367, 0.0000, 0.6367], [0.5000, 0.6205, 0.1205], [0.3633, 0.0000, 0.3633], [0.5393, 0.7238, 0.8155], [0.2038, 0.7557, 0.9595], [0.7962, 0.2443, 0.0405], [0.4607, 0.2762, 0.1845], [0.2879, 0.6098, 0.3218], [0.7121, 0.3902, 0.6782], [0.9083, 0.7238, 0.1845], [0.7962, 0.7557, 0.5519], [0.7121, 0.0339, 0.3218], [0.0917, 0.2762, 0.8155], [0.2038, 0.2443, 0.4481], [0.2879, 0.9661, 0.6782], [0.0000, 0.5000, 0.5000], [0.0000, 0.0000, 0.0000]], "dos_ef_per_ev_fu": 9.78}

---

Entry b
{"formula": "Nd6Al2Tl", "functional": "PBE", "state": "relaxed", "lattice_angstrom": [[5.9460, 0.0000, 0.6249], [0.0000, 9.1994, 0.0000], [0.0493, 0.0000, 10.0443]], "species": ["Nd", "Nd", "Nd", "Nd", "Nd", "Nd", "Nd", "Nd", "Nd", "Nd", "Nd", "Nd", "Al", "Al", "Al", "Al", "Tl", "Tl"], "frac_coords": [[0.4590, 0.8259, 0.4390], [0.4187, 0.5180, 0.6933], [0.5410, 0.1741, 0.5610], [0.4243, 0.8424, 0.0807], [0.0410, 0.3259, 0.0610], [0.9187, 0.9820, 0.1933], [0.5757, 0.1576, 0.9193], [0.9590, 0.6741, 0.9390], [0.5813, 0.4820, 0.3067], [0.0813, 0.0180, 0.8067], [0.0757, 0.3424, 0.4193], [0.9243, 0.6576, 0.5807], [0.5674, 0.8563, 0.7542], [0.0674, 0.6437, 0.2542], [0.9326, 0.3563, 0.7458], [0.4326, 0.1437, 0.2458], [0.0000, 0.0000, 0.5000], [0.5000, 0.5000, 0.0000]], "dos_ef_per_ev_fu": 10.00}

---

Which of them is the least stable? Correct choice: entry b.